No. 1
VASP calculation (PBEsol) on a relaxed structure of LiCuRu2.

Computed properties:
Formation energy in kJ per mole of atoms: 37.1
Energy relative to the lowest polymorph listed for this composition in eV per atom: 0.196

Unit cell a=2.4795 b=4.1108 c=4.9644 alpha=90.00 beta=90.00 gamma=90.00
Closest atoms and distances in Å follow each position.
Space group Pmmm (No. 47)
Symmetry-distinct sites (fractional):
Li1 0.0000 0.0000 0.0000 (multiplicity 1)  2 Li 2.48, 2 Cu 2.48, 8 Ru 2.69
Cu1 0.0000 0.0000 0.5000 (multiplicity 1)  2 Cu 2.48, 2 Li 2.48, 8 Ru 2.71
Ru1 0.5000 0.5000 0.2452 (multiplicity 2)  4 Ru 2.43-2.53, 4 Li 2.69, 4 Cu 2.71


No. 2
VASP calculation (PBEsol) on a relaxed structure of CoSiOs2.

Computed properties:
Uncorrected formation energy in meV per atom: -162

Unit cell a=2.7638 b=2.7638 c=6.4527 alpha=90.00 beta=90.00 gamma=90.00
Closest atoms and distances in Å follow each position.
Space group P4mm (No. 99)
Symmetry-distinct sites (fractional):
Co1 0.0000 0.0000 0.0000 (multiplicity 1)  4 Si 2.29
Si1 0.5000 0.5000 0.8164 (multiplicity 1)  4 Co 2.29, 4 Os 2.56
Os1 0.0000 0.0000 0.5609 (multiplicity 1)  4 Si 2.56, 8 Os 2.64-2.76, 1 Co 2.83
Os2 0.5000 0.5000 0.2848 (multiplicity 1)  8 Os 2.64-2.76, 4 Co 2.68


No. 3
VASP calculation (PBEsol) on a relaxed structure of YGaNiBr2.

Computed properties:
Uncorrected formation energy in meV per atom: 50

Unit cell a=5.2037 b=5.2037 c=4.4428 alpha=90.00 beta=90.00 gamma=90.00
Closest atoms and distances in Å follow each position.
Space group P4/mmm (No. 123)
Symmetry-distinct sites (fractional):
Y1 0.0000 0.0000 0.0000 (multiplicity 1)  8 Br 3.42, 4 Ni 3.68
Ga1 0.5000 0.5000 0.5000 (multiplicity 1)  2 Ni 2.22
Ni1 0.5000 0.5000 0.0000 (multiplicity 1)  2 Ga 2.22
Br1 0.0000 0.5000 0.5000 (multiplicity 2)  2 Ga 2.60


No. 4
VASP calculation (PBEsol) on a relaxed structure of Sr3Ni.

Computed properties:
Formation energy in kJ per mole of atoms: 11.0

Unit cell a=3.9742 b=10.9359 c=6.9187 alpha=90.00 beta=90.00 gamma=90.00
Closest atoms and distances in Å follow each position.
Space group Imm2 (No. 44)
Symmetry-distinct sites (fractional):
Sr1 0.0000 0.0000 0.0000 (multiplicity 2)  2 Ni 2.91
Sr2 0.0000 0.1750 0.4849 (multiplicity 4)  2 Ni 3.02
Ni1 0.0000 0.5000 0.8080 (multiplicity 2)  6 Sr 2.91-3.02


No. 5
VASP calculation (PBEsol) on a relaxed structure of K2MnMo.

Computed properties:
Formation energy in kJ per mole of atoms: 98.8

Unit cell a=6.9465 b=3.6188 c=10.2571 alpha=90.00 beta=99.88 gamma=90.00
Closest atoms and distances in Å follow each position.
Space group Cm (No. 8)
Symmetry-distinct sites (fractional):
K1 0.0000 0.0000 0.0000 (multiplicity 2)  3 Mo 3.54-3.56, 3 Mn 3.59-3.82, 6 K 3.62-3.92
K2 0.1577 0.0000 0.5613 (multiplicity 2)  3 Mn 3.47-3.61, 3 Mo 3.60-3.72, 2 K 3.62
Mn1 0.4262 0.0000 0.2899 (multiplicity 2)  3 Mo 2.18-2.28
Mo1 0.2496 0.5000 0.2750 (multiplicity 2)  3 Mn 2.18-2.28


No. 6
VASP calculation (PBEsol) on a relaxed structure of TaSiRu2.

Computed properties:
Uncorrected formation energy in meV per atom: -447

Unit cell a=5.8116 b=6.3919 c=3.0157 alpha=90.00 beta=90.00 gamma=90.00
Closest atoms and distances in Å follow each position.
Space group Cmmm (No. 65)
Symmetry-distinct sites (fractional):
Ta1 0.0000 0.0000 0.0000 (multiplicity 2)  8 Ru 2.63, 2 Si 2.91
Si1 0.0000 0.5000 0.0000 (multiplicity 2)  8 Ru 2.63, 2 Ta 2.91
Ru1 0.2500 0.2500 0.5000 (multiplicity 4)  4 Ta 2.63, 4 Si 2.63, 2 Ru 2.91


No. 7
VASP calculation (PBEsol) on a relaxed structure of MgSb2P.

Computed properties:
Uncorrected formation energy in meV per atom: -2
Energy relative to the lowest polymorph listed for this composition in eV per atom: 0.000

Unit cell a=5.8683 b=8.7856 c=3.6868 alpha=90.00 beta=90.00 gamma=90.00
Closest atoms and distances in Å follow each position.
Space group Cmmm (No. 65)
Symmetry-distinct sites (fractional):
Mg1 0.0000 0.0000 0.0000 (multiplicity 2)  2 P 2.93, 4 Sb 3.03
Sb1 0.0000 0.2732 0.5000 (multiplicity 4)  2 P 2.71, 2 Sb 2.96, 2 Mg 3.03
P1 0.0000 0.5000 0.0000 (multiplicity 2)  4 Sb 2.71, 2 Mg 2.93


No. 8
VASP calculation (PBEsol) on a relaxed structure of ZnSiTe2.

Computed properties:
Uncorrected formation energy in meV per atom: -31
Energy relative to the lowest polymorph listed for this composition in eV per atom: 0.000

Unit cell a=4.0176 b=4.0176 c=5.6901 alpha=90.00 beta=90.00 gamma=90.00
Closest atoms and distances in Å follow each position.
Space group P4/mmm (No. 123)
Symmetry-distinct sites (fractional):
Zn1 0.0000 0.0000 0.0000 (multiplicity 1)  6 Te 2.84-2.85
Si1 0.5000 0.5000 0.5000 (multiplicity 1)  6 Te 2.84-2.85
Te1 0.0000 0.0000 0.5000 (multiplicity 1)  4 Si 2.84, 2 Zn 2.85
Te2 0.5000 0.5000 0.0000 (multiplicity 1)  4 Zn 2.84, 2 Si 2.85


No. 9
VASP calculation (PBEsol) on a relaxed structure of KCdOs2.

Computed properties:
Formation energy in kJ per mole of atoms: 109.2

Unit cell a=11.7924 b=2.7526 c=4.8093 alpha=90.00 beta=113.72 gamma=90.00
Closest atoms and distances in Å follow each position.
Space group C2/m (No. 12)
Symmetry-distinct sites (fractional):
K1 0.0000 0.0000 0.0000 (multiplicity 2)  2 K 2.75, 4 Cd 2.77
Cd1 0.0000 0.5000 0.5000 (multiplicity 2)  2 Cd 2.75, 4 K 2.77, 4 Os 2.79
Os1 0.2252 0.0000 0.7231 (multiplicity 4)  6 Os 2.75-2.84, 2 Cd 2.79


No. 10
VASP calculation (PBEsol) on a relaxed structure of CaRe2Te.

Computed properties:
Uncorrected formation energy in meV per atom: 196

Unit cell a=3.1306 b=3.1126 c=16.8124 alpha=90.00 beta=90.00 gamma=90.00
Closest atoms and distances in Å follow each position.
Space group Amm2 (No. 38)
Symmetry-distinct sites (fractional):
Ca1 0.0000 0.0000 0.0000 (multiplicity 2)  4 Re 3.10, 4 Ca 3.11-3.13, 4 Te 3.39
Re1 0.0000 0.0000 0.2068 (multiplicity 2)  4 Re 2.56, 2 Te 2.83
Re2 0.5000 0.0000 0.6292 (multiplicity 2)  4 Re 2.56
Te1 0.5000 0.0000 0.3473 (multiplicity 2)  2 Re 2.83, 4 Te 3.11-3.13


No. 11
VASP calculation (PBEsol) on a relaxed structure of GeO2.

Computed properties:
Uncorrected formation energy in meV per atom: -1622

Unit cell a=4.9676 b=4.9676 c=7.1705 alpha=90.00 beta=90.00 gamma=90.00
Closest atoms and distances in Å follow each position.
Space group P4_32_12 (No. 96)
Symmetry-distinct sites (fractional):
Ge1 0.1748 0.1748 0.0000 (multiplicity 4)  4 O 1.75-1.76
O1 0.1696 0.7740 0.5418 (multiplicity 8)  2 Ge 1.75-1.76


No. 12
VASP calculation (PBEsol) on a relaxed structure of LiCa.

Computed properties:
Formation energy in kJ per mole of atoms: 2.2
Energy relative to the lowest polymorph listed for this composition in eV per atom: 0.013

Unit cell a=12.3818 b=3.8285 c=5.5992 alpha=90.00 beta=112.57 gamma=90.00
Closest atoms and distances in Å follow each position.
Space group C2/m (No. 12)
Symmetry-distinct sites (fractional):
Li1 0.1535 0.0000 0.3851 (multiplicity 4)  2 Li 2.95
Ca1 0.1065 0.5000 0.8431 (multiplicity 4)  7 Li 3.42-3.66, 6 Ca 3.69-3.83